Pr2Ga (PBE, optimized geometry); spin magnetization = 0.53 Bohr magnetons per cell; SG = Fm-3m, No. 225; uncorrected energy = -13.296 eV per formula unit; calculated volume = 96.45 Å³/cell
1.0
0.000 3.640 3.640
3.640 0.000 3.640
3.640 3.640 0.000
Pr Ga
2 1
Cartesian
1.820 1.820 1.820
5.460 5.460 5.460
0.000 0.000 0.000